[1]
# NiMoAu2

An optimized crystal structure of NiMoAu2 (PBE-GGA, Alexandria).

a = 4.743 Å, b = 4.743 Å, c = 4.743 Å
α = 128.98°, β = 128.98°, γ = 75.04°
Site moments in Bohr magnetons follow the coordinates.
Positions (direct):
1 Au 0.000 0.000 0.000  0.00
2 Mo 0.250 0.750 0.500  0.22
3 Au 0.500 0.500 0.000  0.00
4 Ni 0.750 0.250 0.500  -0.03

Results
As for the space group: No. 139.

[2]
# NiMo3Au

An optimized crystal structure of NiMo3Au (PBE-GGA, Alexandria).

a = 4.466 Å, b = 4.466 Å, c = 4.466 Å
α = 90.00°, β = 90.00°, γ = 90.00°
Positions (direct):
1 Ni 0.000 0.000 0.000
2 Mo 0.500 0.000 0.000
3 Au 0.500 0.500 0.500
4 Mo 0.000 0.000 0.500
5 Mo 0.000 0.500 0.000

Results
As for the space group: No. 221.

[3]
# NiMoAu

An optimized crystal structure of NiMoAu (PBE-GGA, Alexandria).

a = 6.108 Å, b = 6.108 Å, c = 2.771 Å
α = 76.89°, β = 76.89°, γ = 26.22°
Positions (direct):
1 Ni 0.676 0.676 0.324
2 Mo 0.319 0.319 0.681
3 Au 0.006 0.006 0.994

Results
As for the space group: No. 107.

[4]
# NiMoAu2

An optimized crystal structure of NiMoAu2 (PBE-GGA, Alexandria).

a = 9.118 Å, b = 9.118 Å, c = 9.118 Å
α = 18.00°, β = 18.00°, γ = 18.00°
Positions (direct):
1 Au 0.496 0.496 0.496
2 Au 0.004 0.004 0.004
3 Ni 0.750 0.750 0.750
4 Mo 0.250 0.250 0.250

Results
As for the space group: No. 166.

[5]
# NiMoAu2

An optimized crystal structure of NiMoAu2 (PBE-GGA, Alexandria).

a = 4.772 Å, b = 4.772 Å, c = 4.772 Å
α = 129.82°, β = 129.82°, γ = 73.70°
Site moments in Bohr magnetons follow the coordinates.
Positions (direct):
1 Au 0.000 0.000 0.000  0.00
2 Ni 0.750 0.250 0.500  0.03
3 Au 0.250 0.750 0.500  0.01
4 Mo 0.500 0.500 0.000  0.29

Results
As for the space group: No. 119.

[6]
# NiMoAu2

An optimized crystal structure of NiMoAu2 (PBE-GGA, Alexandria).

a = 2.809 Å, b = 2.809 Å, c = 7.853 Å
α = 90.00°, β = 90.00°, γ = 90.00°
Site moments in Bohr magnetons follow the coordinates.
Positions (direct):
1 Au 0.000 0.000 0.266  0.00
2 Au 0.000 0.000 0.734  0.00
3 Ni 0.500 0.500 0.500  0.29
4 Mo 0.500 0.500 0.000  0.02

Results
As for the space group: No. 123.

[7]
# NiMoAu2

An optimized crystal structure of NiMoAu2 (PBE-GGA, Alexandria).

a = 2.753 Å, b = 4.934 Å, c = 5.688 Å
α = 55.27°, β = 90.00°, γ = 90.00°
Site moments in Bohr magnetons follow the coordinates.
Positions (direct):
1 Au 0.500 0.500 0.000  0.03
2 Au 0.000 0.000 0.000  0.05
3 Mo 0.500 0.500 0.500  0.60
4 Ni 0.000 0.000 0.500  0.35

Results
As for the space group: No. 10.

[8]
# NiMoAu

An optimized crystal structure of NiMoAu (PBE-GGA, Alexandria).

a = 4.789 Å, b = 4.789 Å, c = 4.789 Å
α = 146.64°, β = 132.20°, γ = 59.53°
Positions (direct):
1 Mo 0.677 0.677 0.000
2 Ni 0.325 0.325 0.000
3 Au 0.998 0.998 0.000

Results
As for the space group: No. 44.

DFT formation energy in eV/f.u., matching the order above: 1.27, 6.17, 0.23, 1.12, 1.25, 0.75, 1.44, 0.53
DOS(E_F) in states/eV per cell, matching the order above: 3.6, 5.5, 1.6, 3.1, 5.1, 3.2, 4.4, 2.2